! BaTc2Hg, relaxed, DFT PBEsol; values from VASP
! ΔH_f (0 K) = 1295 meV/atom
! magnetic moment = 2.7 μB per formula unit
&SYSTEM
  ibrav = 0, nat = 4, ntyp = 3
/
ATOMIC_SPECIES
Ba 137.33 Ba.upf
Tc 98.00 Tc.upf
Hg 200.59 Hg.upf
ATOMIC_POSITIONS angstrom
Ba -1.9429 -2.0715 1.2934
Tc -1.5073 0.6513 2.5437
Hg 0.0000 0.0000 0.0000
Tc -3.0017 0.3526 -0.1796
CELL_PARAMETERS angstrom
-3.4373 -2.3702 -1.4300
-0.4485 -1.7728 4.0167
-0.6231 5.1469 -0.2226